The following is a PBE calculation of a geometry-optimized CsSiBr structure, from Alexandria.

Output
- Crystal system: trigonal

```
CsSiBr
1.0
4.164 0.000 0.000
-2.082 3.606 0.000
0.000 0.000 13.770
Cs Si Br
2 2 2
direct
0.000 0.000 0.000
0.000 0.000 0.370
0.333 0.667 0.736
0.667 0.333 0.786
0.333 0.667 0.553
0.667 0.333 0.185
```

The following is a PBE calculation of a geometry-optimized CsSi2Br structure, from Alexandria.

Output
- Crystal system: cubic

```
CsSi2Br
1.0
0.000 3.873 3.873
3.873 0.000 3.873
3.873 3.873 0.000
Cs Si Br
1 2 1
direct
0.000 0.000 0.000
0.250 0.250 0.250
0.750 0.750 0.750
0.500 0.500 0.500
```

The following is a PBE calculation of a geometry-optimized Cs2SiSnBr6 structure, from Alexandria.

Output
- Crystal system: cubic

```
Cs2SiSnBr6
1.0
0.000 5.683 5.683
5.683 0.000 5.683
5.683 5.683 0.000
Cs Si Sn Br
2 1 1 6
direct
0.250 0.250 0.250
0.750 0.750 0.750
0.000 0.000 0.000
0.500 0.500 0.500
0.240 0.240 0.760
0.240 0.760 0.240
0.240 0.760 0.760
0.760 0.240 0.240
0.760 0.240 0.760
0.760 0.760 0.240
```

The following is a PBE calculation of a geometry-optimized Cs2SrSiBr6 structure, from Alexandria.

Output
- Crystal system: cubic

```
Cs2SrSiBr6
1.0
0.000 5.782 5.782
5.782 0.000 5.782
5.782 5.782 0.000
Cs Sr Si Br
2 1 1 6
direct
0.250 0.250 0.250
0.750 0.750 0.750
0.000 0.000 0.000
0.500 0.500 0.500
0.261 0.261 0.739
0.261 0.739 0.261
0.261 0.739 0.739
0.739 0.261 0.261
0.739 0.261 0.739
0.739 0.739 0.261
```

The following is a PBE calculation of a geometry-optimized Cs2TaSiBr6 structure, from Alexandria.

Output
- Crystal system: tetragonal

```
Cs2TaSiBr6
1.0
-3.828 3.828 6.099
3.828 -3.828 6.099
3.828 3.828 -6.099
Cs Ta Si Br
2 1 1 6
direct
0.250 0.750 0.500
0.750 0.250 0.500
0.000 0.000 0.000
0.500 0.500 0.000
0.217 0.217 0.000
0.246 0.246 0.493
0.246 0.754 0.000
0.754 0.246 0.000
0.754 0.754 0.507
0.783 0.783 0.000
```

The following is a PBE calculation of a geometry-optimized Cs5SiTe4Br2 structure, from Alexandria.

Output
- Crystal system: orthorhombic

```
Cs5SiTe4Br2
1.0
11.296 0.000 0.000
0.000 6.152 4.520
0.000 -6.152 4.520
Cs Si Te Br
5 1 4 2
direct
0.000 0.000 0.000
0.251 0.291 0.698
0.251 0.698 0.291
0.749 0.291 0.698
0.749 0.698 0.291
0.500 0.008 0.008
0.314 0.158 0.158
0.500 0.658 0.932
0.500 0.932 0.658
0.686 0.158 0.158
0.000 0.515 0.980
0.000 0.980 0.515
```

The following is a PBE calculation of a geometry-optimized CsV2SiBr structure, from Alexandria.

Output
- Crystal system: tetragonal

```
CsV2SiBr
1.0
5.630 0.000 0.000
0.000 5.630 0.000
0.000 0.000 6.070
Cs V Si Br
1 2 1 1
direct
0.000 0.000 0.000
0.000 0.500 0.000
0.500 0.000 0.000
0.500 0.500 0.500
0.000 0.000 0.500
```

The following is a PBE calculation of a geometry-optimized Cs2SiWBr6 structure, from Alexandria.

Output
- Crystal system: tetragonal

```
Cs2SiWBr6
1.0
-3.893 3.893 5.542
3.893 -3.893 5.542
3.893 3.893 -5.542
Cs Si W Br
2 1 1 6
direct
0.250 0.750 0.500
0.750 0.250 0.500
0.000 0.000 0.000
0.500 0.500 0.000
0.258 0.258 0.516
0.258 0.742 0.000
0.259 0.259 0.000
0.741 0.741 0.000
0.742 0.258 0.000
0.742 0.742 0.484
```

no.,calculated total energy (eV/atom)
1,-3.370
2,-2.358
3,-3.202
4,-3.331
5,-3.724
6,-3.164
7,-3.059
8,-3.698